This record from OQMD via LeMat-Bulk describes Nb2InIr after structural relaxation. The functional is GGA-PBE.

a b c (Å): 4.649 4.649 4.649
angles (deg): 60.00 60.00 60.00
Fractional positions:
Nb 0.000 0.000 0.000
Nb 0.250 0.250 0.250
In 0.500 0.500 0.500
Ir 0.750 0.750 0.750

Calculated values
Uncorrected energy in eV per cell: -31.761
Size of the total moment in μB per atom: 0.0033
Space group: F-43m (216)